Ac8Nd4Dy, optimized geometry, DFT PBE; VASP energy = -4.311 eV/atom
1.0
5.383 0.000 1.164
2.003 17.101 3.766
1.444 1.437 6.353
Ac Dy Nd
8 1 4
direct
0.277 0.670 0.775
0.203 0.905 0.690
0.970 0.594 0.467
0.820 0.054 0.307
0.053 0.365 0.529
0.745 0.289 0.221
0.587 0.752 0.074
0.435 0.207 0.923
0.511 0.979 0.998
0.125 0.131 0.619
0.897 0.828 0.377
0.663 0.517 0.158
0.360 0.442 0.839


Tl3HSe, optimized geometry, DFT PBE; distance to the lowest polymorph of the same formula = 429 meV/atom
1.0
6.184 0.000 0.000
0.000 6.184 0.000
0.000 0.000 6.184
Tl H Se
3 1 1
direct
0.000 0.000 0.500
0.000 0.500 0.000
0.500 0.000 0.000
0.500 0.500 0.500
0.000 0.000 0.000


PrMg4, optimized geometry, DFT PBE; VASP energy = -2.291 eV/atom
1.0
-1.350 2.978 -1.139
-2.529 -2.568 -3.741
-3.732 -1.082 6.887
Mg Pr
4 1
direct
0.215 0.216 0.932
0.895 0.397 0.293
0.785 0.784 0.068
0.105 0.603 0.707
0.500 0.000 0.500


YInAg2, optimized geometry, DFT PBE; VASP energy = -3.784 eV/atom
1.0
-2.927 4.214 2.245
-3.111 -4.686 -1.909
-0.735 -1.618 2.753
Y Ag In
1 2 1
direct
0.500 0.500 0.000
0.000 0.000 0.000
0.500 0.000 0.500
0.000 0.500 0.500


Hf4NbIr, optimized geometry, DFT PBE; VASP energy = -10.017 eV/atom
1.0
5.522 -0.392 0.000
-1.923 7.658 0.000
-1.800 -3.633 6.088
Hf Nb Ir
8 2 2
direct
0.713 0.373 0.165
0.369 0.938 0.636
0.631 0.062 0.364
0.232 0.302 0.364
0.768 0.698 0.636
0.048 0.208 0.835
0.952 0.792 0.165
0.287 0.627 0.835
0.366 0.616 0.232
0.634 0.384 0.768
0.249 0.999 0.999
0.751 0.001 0.001


MnAs, optimized geometry, DFT PBE; VASP energy = -7.007 eV/atom
1.0
-0.401 -3.080 3.342
1.844 -0.833 4.089
-4.117 2.489 4.887
Mn As
3 3
direct
0.259 0.259 0.904
0.035 0.035 0.653
0.286 0.286 0.291
0.759 0.759 0.606
0.936 0.936 0.029
0.557 0.557 0.351


SrCd2Ru, optimized geometry, DFT PBE; VASP energy = -2.901 eV/atom
1.0
-4.540 1.197 2.642
1.088 -0.601 5.242
2.637 2.794 -3.777
Cd Sr Ru
2 1 1
direct
0.250 0.750 0.500
0.000 0.000 0.000
0.750 0.250 0.500
0.500 0.500 0.000


Pm6ScSn4, optimized geometry, DFT PBE; VASP energy = -5.073 eV/atom
1.0
-2.849 -0.450 2.146
1.374 -10.263 -0.327
4.654 5.618 7.356
Sn Pm Sc
4 6 1
direct
0.500 0.849 0.151
0.500 0.849 0.698
0.000 0.333 0.667
0.500 0.302 0.151
0.500 0.191 0.382
0.500 0.191 0.809
0.000 0.543 0.085
0.000 0.543 0.457
0.000 0.915 0.457
0.500 0.618 0.809
0.000 0.000 0.000


Sr2YZrTa, optimized geometry, DFT PBE; VASP energy = -4.703 eV/atom
1.0
5.877 0.000 0.000
0.000 5.470 0.000
0.000 0.000 5.877
Y Ta Sr Zr
1 1 2 1
direct
0.000 0.500 0.000
0.000 0.000 0.000
0.000 0.000 0.500
0.500 0.000 0.000
0.500 0.500 0.500


TaFe2Tc, optimized geometry, DFT PBE; distance to the lowest polymorph of the same formula = 89 meV/atom
1.0
3.763 0.000 0.000
0.000 3.792 0.000
0.000 0.000 3.792
Fe Tc Ta
2 1 1
direct
0.000 0.500 0.500
0.000 0.000 0.000
0.500 0.000 0.500
0.500 0.500 0.000


KLaScBe2, optimized geometry, DFT PBE; VASP energy = -2.507 eV/atom
1.0
-3.044 -3.473 2.067
3.937 -2.358 1.837
-0.304 2.778 4.218
La Be K Sc
1 2 1 1
direct
0.500 0.500 0.500
0.500 0.000 0.000
0.000 0.000 0.500
0.000 0.000 0.000
0.000 0.500 0.000


ErZnPdO4, optimized geometry, DFT PBE; ΔE_f (raw) = -1163.3 kJ/mol of formula units
1.0
6.418 0.000 0.000
-3.209 5.391 -0.581
0.000 -3.427 5.635
O Er Zn Pd
8 2 2 2
direct
0.239 0.478 0.720
0.761 0.522 0.742
0.257 0.985 0.742
0.727 0.985 0.742
0.743 0.015 0.258
0.239 0.478 0.258
0.273 0.015 0.258
0.761 0.522 0.280
0.500 0.000 0.000
0.500 0.000 0.500
0.112 0.225 0.862
0.888 0.775 0.138
0.000 0.500 0.500
0.500 0.500 0.500


Tc2GeBr, optimized geometry, DFT PBE; ΔE_f (raw) = 236.3 kJ/mol of formula units; distance to the lowest polymorph of the same formula = 0 meV/atom
1.0
0.000 3.132 3.132
3.132 0.000 3.132
3.132 3.132 0.000
Tc Br Ge
2 1 1
direct
0.750 0.750 0.750
0.250 0.250 0.250
0.500 0.500 0.500
0.000 0.000 0.000


Nd7I12N, optimized geometry, DFT PBE; ΔE_f (raw) = -2562.1 kJ/mol of formula units
1.0
9.370 -0.229 -2.871
-3.821 8.559 -2.871
-0.153 -0.229 9.799
I Nd N
12 7 1
direct
0.228 0.079 0.688
0.688 0.228 0.079
0.079 0.688 0.228
0.387 0.469 0.148
0.772 0.921 0.312
0.852 0.613 0.531
0.921 0.312 0.772
0.531 0.852 0.613
0.469 0.148 0.387
0.613 0.531 0.852
0.312 0.772 0.921
0.148 0.387 0.469
0.097 0.031 0.288
0.903 0.969 0.712
0.288 0.097 0.031
0.712 0.903 0.969
0.500 0.500 0.500
0.031 0.288 0.097
0.969 0.712 0.903
0.000 0.000 0.000


CuGeNO2, optimized geometry, DFT PBE; ΔE_f (raw) = 89.3 kJ/mol of formula units
1.0
3.710 0.000 0.000
0.000 3.710 0.000
0.000 0.000 3.831
N O Cu Ge
1 2 1 1
direct
0.000 0.000 0.500
0.000 0.500 0.000
0.500 0.000 0.000
0.500 0.500 0.500
0.000 0.000 0.000